# CrRh3 | the Alexandria database | GGA-PBEsol | relaxed
data_CrRh3
_chemical_formula_sum 'Cr1 Rh3'
_space_group_name_H-M_alt 'P -6 m 2'
_space_group_IT_number 187
_space_group_name_Hall 'P -6 2'
_cell_length_a 2.6565
_cell_length_b 2.6565
_cell_length_c 8.4426
_cell_angle_alpha 90.00
_cell_angle_beta 90.00
_cell_angle_gamma 120.00
loop_
_atom_site_label
_atom_site_fract_x
_atom_site_fract_y
_atom_site_fract_z
Cr1 0.0000 0.0000 0.0000
Rh1 0.0000 0.0000 0.5000
Rh2 0.6667 0.3333 0.2352
# N(E_F): 4.57 states/eV per cell
# calculated formation energy: -0.0743 eV per atom
# raw total energy: -8.739 eV/atom


# SrAsF3 | the Alexandria database | GGA-PBEsol | relaxed
data_SrAsF3
_chemical_formula_sum 'Sr1 As1 F3'
_space_group_name_H-M_alt 'P m -3 m'
_space_group_IT_number 221
_space_group_name_Hall '-P 4 2 3'
_cell_length_a 4.489
_cell_length_b 4.489
_cell_length_c 4.489
_cell_angle_alpha 90.00
_cell_angle_beta 90.00
_cell_angle_gamma 90.00
loop_
_atom_site_label
_atom_site_fract_x
_atom_site_fract_y
_atom_site_fract_z
Sr1 0.000 0.000 0.000
As1 0.500 0.500 0.500
F1 0.000 0.500 0.500
# formation energy from raw total energies: -42.03 kcal/mol of atoms
# N(E_F): 2.22 states/eV per cell
# raw total energy: -4.368 eV/atom


# CaTlCd3 | the Alexandria database | GGA-PBEsol | relaxed
data_CaTlCd3
_chemical_formula_sum 'Ca1 Tl1 Cd3'
_space_group_name_H-M_alt 'P m -3 m'
_space_group_IT_number 221
_space_group_name_Hall '-P 4 2 3'
_cell_length_a 5.430
_cell_length_b 5.430
_cell_length_c 5.430
_cell_angle_alpha 90.00
_cell_angle_beta 90.00
_cell_angle_gamma 90.00
loop_
_atom_site_label
_atom_site_fract_x
_atom_site_fract_y
_atom_site_fract_z
Ca1 0.000 0.000 0.000
Tl1 0.500 0.500 0.500
Cd1 0.000 0.500 0.500
# N(E_F): 3.16 states/eV per cell
# calculated formation energy: 0.2926 eV per atom
# raw total energy: -1.378 eV/atom


# Ca2MgCu3 | the Alexandria database | GGA-PBEsol | relaxed
data_Ca2MgCu3
_chemical_formula_sum 'Ca6 Mg3 Cu9'
_space_group_name_H-M_alt 'R -3 m'
_space_group_IT_number 166
_space_group_name_Hall '-R 3 2"'
_cell_length_a 5.4491
_cell_length_b 5.4491
_cell_length_c 13.0103
_cell_angle_alpha 90.00
_cell_angle_beta 90.00
_cell_angle_gamma 120.00
loop_
_atom_site_label
_atom_site_fract_x
_atom_site_fract_y
_atom_site_fract_z
Ca1 0.0000 0.0000 0.1227
Mg1 0.0000 0.0000 0.5000
Cu1 0.0000 0.5000 0.0000
# N(E_F): 9.31 states/eV per cell
# calculated formation energy: -0.0348 eV per atom
# relative energy among the computed polymorphs: 0.005 eV/atom
# raw total energy: -3.199 eV/atom


# GaFe3Ag | the Alexandria database | GGA-PBEsol | relaxed
data_GaFe3Ag
_chemical_formula_sum 'Ga1 Fe3 Ag1'
_space_group_name_H-M_alt 'P m -3 m'
_space_group_IT_number 221
_space_group_name_Hall '-P 4 2 3'
_cell_length_a 4.609
_cell_length_b 4.609
_cell_length_c 4.609
_cell_angle_alpha 90.00
_cell_angle_beta 90.00
_cell_angle_gamma 90.00
loop_
_atom_site_label
_atom_site_fract_x
_atom_site_fract_y
_atom_site_fract_z
Ga1 0.000 0.000 0.000
Fe1 0.000 0.500 0.500
Ag1 0.500 0.500 0.500
# N(E_F): 6.41 states/eV per cell
# calculated formation energy: 1.6081 eV per atom
# relative energy among the computed polymorphs: 0.477 eV/atom
# raw total energy: -5.100 eV/atom


# TaAuSCl2 | the Alexandria database | GGA-PBEsol | relaxed
data_TaAuSCl2
_chemical_formula_sum 'Ta1 Au1 S1 Cl2'
_space_group_name_H-M_alt 'P 4/m m m'
_space_group_IT_number 123
_space_group_name_Hall '-P 4 2'
_cell_length_a 4.768
_cell_length_b 4.768
_cell_length_c 4.864
_cell_angle_alpha 90.00
_cell_angle_beta 90.00
_cell_angle_gamma 90.00
loop_
_atom_site_label
_atom_site_fract_x
_atom_site_fract_y
_atom_site_fract_z
Ta1 0.000 0.000 0.000
Au1 0.500 0.500 0.500
S1 0.500 0.500 0.000
Cl1 0.000 0.500 0.500
# formation energy from raw total energies: 22.63 kcal/mol of atoms
# N(E_F): 5.61 states/eV per cell
# raw total energy: -3.994 eV/atom